A relaxed structure of YIn2Pd2. Source: the Alexandria database, functional PBE.

Cell lengths 8.1324, 8.1324, 3.0851 Å; angles 90.00, 90.00, 90.00 degrees
Last column: magnetic moment on the atom in μB.
Positions (direct):
In: 0.8722 0.6278 0.0000  0.00
In: 0.3722 0.8722 0.0000  0.00
In: 0.1278 0.3722 0.0000  0.00
In: 0.6278 0.1278 0.0000  0.00
Pd: 0.1713 0.6713 0.5000  0.00
Pd: 0.3287 0.1713 0.5000  0.00
Pd: 0.6713 0.8287 0.5000  0.00
Pd: 0.8287 0.3287 0.5000  0.00
Y: 0.0000 0.0000 0.0000  0.21
Y: 0.5000 0.5000 0.0000  0.21

## Properties
- ΔE_f (eV/atom) = -0.48
- SG = P4/mbm, No. 127
- polymorph energy (0 for the lowest one) (meV/atom) = 188
- N(E_F) (states/eV per cell) = 5.22